[1]
Entry from the Alexandria database: a relaxed GeHIrPd2 crystal (PBE).

Results
Volume ... 62.87 Å³ per cell
DFT total energy ... -5.55 eV per atom
M_tot ... 0.0000 μB per atom

a b c (Å): 3.947 3.947 4.036
angles (deg): 90.00 90.00 90.00
Fractional coordinates of all 5 atoms:
Ge 0.000 0.000 0.000
H 0.500 0.500 0.500
Ir 0.500 0.500 0.000
Pd 0.000 0.500 0.500
Pd 0.500 0.000 0.500



[2]
Entry from the Alexandria database: a relaxed Mo6PC crystal (PBE).

Results
Volume ... 118.91 Å³ per cell
DFT total energy ... -9.85 eV per atom
Energy of formation ... 0.11 eV per atom
M_tot ... 0.0000 μB per atom

a b c (Å): 5.686 5.686 5.686
angles (deg): 56.31 56.31 56.31
Fractional coordinates of all 8 atoms:
Mo 0.036 0.430 0.784
Mo 0.216 0.964 0.570
Mo 0.430 0.784 0.036
Mo 0.570 0.216 0.964
Mo 0.784 0.036 0.430
Mo 0.964 0.570 0.216
P 0.500 0.500 0.500
C 0.000 0.000 0.000



[3]
Entry from the Alexandria database: a relaxed GaBH2 crystal (PBE).

Results
Volume ... 61.55 Å³ per cell
DFT total energy ... -3.38 eV per atom
Energy above the lowest structure with this stoichiometry ... 0 meV per atom
M_tot ... 0.0000 μB per atom

a b c (Å): 5.757 5.757 5.757
angles (deg): 145.29 145.29 49.90
Fractional coordinates of all 8 atoms:
Ga 0.375 0.625 0.750
Ga 0.625 0.375 0.250
B 0.125 0.875 0.250
B 0.875 0.125 0.750
H 0.000 0.000 0.000
H 0.000 0.000 0.500
H 0.000 0.500 0.000
H 0.500 0.000 0.500



[4]
Entry from the Alexandria database: a relaxed NaMgInSe3 crystal (PBE).

Results
Volume ... 346.00 Å³ per cell
DFT total energy ... -3.58 eV per atom
M_tot ... 0.0000 μB per atom

a b c (Å): 8.013 4.019 11.355
angles (deg): 90.00 108.89 90.00
Fractional coordinates of all 12 atoms:
Na 0.217 0.250 0.167
Na 0.783 0.750 0.833
Mg 0.344 0.750 0.909
Mg 0.656 0.250 0.091
In 0.114 0.250 0.637
In 0.886 0.750 0.363
Se 0.077 0.250 0.853
Se 0.227 0.750 0.533
Se 0.473 0.750 0.152
Se 0.527 0.250 0.848
Se 0.773 0.250 0.467
Se 0.923 0.750 0.147



[5]
Entry from the Alexandria database: a relaxed Pm2Tm3Ir2 crystal (PBE).

Results
Volume ... 184.58 Å³ per cell
DFT total energy ... -6.43 eV per atom
Energy of formation ... -0.63 eV per atom
M_tot ... 0.0000 μB per atom

a b c (Å): 6.369 6.369 8.957
angles (deg): 115.63 115.63 34.74
Fractional coordinates of all 7 atoms:
Pm 0.165 0.165 0.305
Pm 0.835 0.835 0.695
Tm 0.379 0.379 0.069
Tm 0.500 0.500 0.500
Tm 0.621 0.621 0.931
Ir 0.171 0.171 0.740
Ir 0.829 0.829 0.260



[6]
Entry from the Alexandria database: a relaxed YTcPt2 crystal (PBE).

Results
Volume ... 70.50 Å³ per cell
DFT total energy ... -7.60 eV per atom
Energy of formation ... -0.38 eV per atom
Energy above the lowest structure with this stoichiometry ... 70 meV per atom
M_tot ... 0.2181 μB per atom

a b c (Å): 5.038 5.038 5.038
angles (deg): 131.37 131.37 71.22
Fractional coordinates of all 4 atoms:
Y 0.000 0.000 0.000
Tc 0.500 0.500 0.000
Pt 0.250 0.750 0.500
Pt 0.750 0.250 0.500